Entry from the Alexandria database: crystalline Sr3Ga4Pt4 at its relaxed geometry (PBE). Values from VASP.

## Properties
Electronic total energy = -4.60 eV per atom
ΔE_f = -0.840 eV per atom
Density = 8.8 g/cm3
SG = Immm (71)

Geometry as Quantum ESPRESSO input:
```
&SYSTEM
  ibrav = 0, nat = 11, ntyp = 3
/
ATOMIC_SPECIES
Sr 87.62 Sr.upf
Ga 69.72 Ga.upf
Pt 195.08 Pt.upf
CELL_PARAMETERS angstrom
-2.2004 2.2195 12.8061
2.2004 -2.2195 12.8061
2.2004 2.2195 -12.8061
ATOMIC_POSITIONS angstrom
Sr 0.0000 0.0000 0.0000
Sr 2.2004 0.0000 9.0616
Sr 0.0000 2.2195 3.7445
Ga 2.2004 0.0000 2.5436
Ga 0.0000 0.0000 6.4019
Ga 0.0000 0.0000 19.2103
Ga 0.0000 2.2195 10.2625
Pt 2.2004 0.0000 5.0783
Pt 0.0000 0.0000 11.4332
Pt 0.0000 0.0000 14.1789
Pt 0.0000 2.2195 7.7278
```